(1)
BeReAu2: optimized geometry, GGA-PBEsol.

Cell lengths 2.6785, 4.6210, 5.3509 Å; angles 115.58, 104.49, 90.00 degrees
With the nearest neighbours (Å) after each atom.
Positions (direct):
Au  0.7849  0.2849  0.5699  2 Be 2.40, 2 Au 2.68
Au  0.9989  0.9989  0.9978  4 Be 2.67, 4 Au 2.68-2.97, 2 Re 2.95
Re  0.2160  0.7160  0.4321  2 Be 2.41, 2 Re 2.68
Be  0.5001  0.5001  0.0002  6 Au 2.40-2.67, 2 Re 2.41, 2 Be 2.68

Output
Total DFT energy (no corrections) ... -5.971 eV/atom
SG ... Imm2
Spin magnetization ... 0.00 μB per cell
Calculated formation energy ... 0.324 eV/atom

(2)
KMnCu2O: optimized geometry, GGA-PBEsol.

Cell lengths 4.2980, 4.7628, 4.7628 Å; angles 90.00, 90.00, 90.00 degrees
With the nearest neighbours (Å) after each atom.
Positions (direct):
O  0.5000  0.0000  0.0000  2 K 2.15
Mn  0.5000  0.5000  0.5000  8 Cu 3.21, 4 O 3.37
K  0.0000  0.0000  0.0000  2 O 2.15, 4 Cu 2.38
Cu  0.0000  0.5000  0.0000  2 K 2.38
Cu  0.0000  0.0000  0.5000  2 K 2.38

Output
Total DFT energy (no corrections) ... -3.383 eV/atom
SG ... P4/mmm
Spin magnetization ... 4.88 μB per cell
Formation energy without anion corrections ... 1.58 eV per atom

(3)
BaZrSb2: optimized geometry, GGA-PBEsol.

Cell lengths 3.3595, 5.6820, 6.1975 Å; angles 90.00, 105.73, 90.00 degrees
With the nearest neighbours (Å) after each atom.
Positions (direct):
Ba  0.2460  0.8751  0.4920  7 Sb 3.14-3.31, 2 Ba 3.36
Sb  0.7712  0.3751  0.5423  3 Zr 3.20-3.24, 4 Ba 3.31, 2 Sb 3.36
Sb  0.9832  0.8749  0.9664  3 Ba 3.14-3.29, 4 Zr 3.31, 2 Sb 3.36
Zr  0.4996  0.3750  0.9993  7 Sb 3.20-3.31, 2 Zr 3.36

Output
Energy above the most stable polymorph in this dataset ... 428 meV/atom
Total DFT energy (no corrections) ... -5.471 eV/atom
SG ... Amm2
Spin magnetization ... 0.00 μB per cell
Formation energy without anion corrections ... -0.38 eV per atom

(4)
Nb3ZnIn: optimized geometry, GGA-PBEsol.

Cell lengths 4.6792, 4.6792, 4.6792 Å; angles 90.00, 90.00, 90.00 degrees
With the nearest neighbours (Å) after each atom.
Positions (direct):
Zn  0.0000  0.0000  0.0000  6 Nb 2.34
Nb  0.0000  0.0000  0.5000  2 Zn 2.34
Nb  0.0000  0.5000  0.0000  2 Zn 2.34
Nb  0.5000  0.0000  0.0000  2 Zn 2.34
In  0.5000  0.5000  0.5000  12 Nb 3.31

Output
Total DFT energy (no corrections) ... -6.474 eV/atom
SG ... Pm-3m
Spin magnetization ... 0.00 μB per cell
Calculated formation energy ... 0.932 eV/atom